No. 1
{"formula": "LaThPt4", "functional": "PBE", "state": "optimized geometry", "magmom_total_mub_per_atom": 0.001, "space_group": "F-43m", "ef_ev_per_atom": -1.046, "volume_a3_per_cell": 120, "lattice_angstrom": [[-3.052, 4.628, -0.014], [-5.452, -0.272, 0.965], [-2.076, 1.966, 4.750]], "species": ["Pt", "Pt", "La", "Pt", "Pt", "Th"], "fractional_positions": [[0.625, 0.125, 0.625], [0.125, 0.625, 0.625], [0.000, 0.000, 0.000], [0.625, 0.625, 0.125], [0.625, 0.625, 0.625], [0.250, 0.250, 0.250]]}

=====

No. 2
{"formula": "LaTh2Pt4", "functional": "PBE", "state": "optimized geometry", "magmom_total_mub_per_atom": 0.000, "space_group": "I-42d", "ef_ev_per_atom": -1.185, "volume_a3_per_cell": 337, "lattice_angstrom": [[1.141, -7.355, 1.499], [4.596, 4.179, 4.366], [-7.231, 1.805, 1.452]], "species": ["La", "Pt", "Pt", "Pt", "Th", "La", "Th", "Pt", "Pt", "Pt", "Pt", "Th", "Th", "Pt"], "fractional_positions": [[0.250, 0.750, 0.500], [0.390, 0.137, 0.424], [0.387, 0.140, 0.924], [0.537, 0.613, 0.754], [0.625, 0.505, 0.380], [0.000, 0.000, 0.000], [0.755, 0.375, 0.880], [0.217, 0.463, 0.076], [0.860, 0.783, 0.246], [0.033, 0.610, 0.746], [0.863, 0.287, 0.254], [0.125, 0.245, 0.620], [0.495, 0.875, 0.120], [0.713, 0.967, 0.576]]}

=====

No. 3
{"formula": "La2ThPt4", "functional": "PBE", "state": "optimized geometry", "magmom_total_mub_per_atom": 0.000, "space_group": "I-42d", "ef_ev_per_atom": -1.155, "volume_a3_per_cell": 340, "lattice_angstrom": [[-2.106, 7.289, 0.687], [-4.554, -3.498, -5.006], [-0.545, -3.450, 6.770]], "species": ["Pt", "La", "Pt", "Pt", "Th", "Pt", "Pt", "Pt", "Pt", "La", "Th", "La", "Pt", "La"], "fractional_positions": [[0.362, 0.111, 0.908], [0.625, 0.496, 0.371], [0.546, 0.638, 0.749], [0.889, 0.797, 0.251], [0.250, 0.750, 0.500], [0.704, 0.953, 0.592], [0.888, 0.296, 0.249], [0.203, 0.454, 0.092], [0.047, 0.639, 0.751], [0.504, 0.875, 0.129], [0.000, 0.000, 0.000], [0.125, 0.254, 0.629], [0.361, 0.112, 0.408], [0.746, 0.375, 0.871]]}